Entry 1
First-principles (GGA-PBE) data for an optimized crystal structure of La8Pr2Er3, as listed in the Alexandria database.

The density of states at the Fermi level comes out at 1.349 states/eV/atom.

It has space group C2/m (No. 12), with a = 20.910 Å, b = 7.753 Å, c = 5.813 Å, α = 90.00°, β = 90.03° and γ = 90.00°. The distinct sites, in fractional coordinates, are La at (0.102, 0.199, 0.000), La at (0.129, 0.500, 0.499), La at (0.173, 0.000, 0.501), Pr at (0.240, 0.500, 0.998), Er at (0.000, 0.218, 0.500) and Er at (0.000, 0.500, 0.000).

Entry 2
First-principles (GGA-PBE) data for an optimized crystal structure of La8Pr2Er3, as listed in the Alexandria database.

The density of states at the Fermi level comes out at 1.553 states/eV/atom.

It has space group C2/m (No. 12), with a = 16.076 Å, b = 10.440 Å, c = 5.770 Å, α = 90.00°, β = 107.27° and γ = 90.00°. The distinct sites, in fractional coordinates, are La at (0.039, 0.000, 0.265), La at (0.159, 0.255, 0.139), La at (0.167, 0.500, 0.637), Pr at (0.183, 0.000, 0.752), Er at (0.000, 0.284, 0.500) and Er at (0.000, 0.500, 0.000).

Preferred: entry 2; penalty for the next structure: 11 meV per atom.

Entry 1
First-principles (GGA-PBE) data for an optimized crystal structure of LaPr7Er4, as listed in the Alexandria database.

The density of states at the Fermi level comes out at 1.357 states/eV/atom.

It has space group P-1 (No. 2), with a = 6.376 Å, b = 7.359 Å, c = 9.058 Å, α = 89.97°, β = 76.44° and γ = 89.99°. The distinct sites, in fractional coordinates, are La at (0.000, 0.000, 0.000), Pr at (0.000, 0.500, 0.000), Pr at (0.224, 0.000, 0.335), Pr at (0.281, 0.253, 0.663), Pr at (0.500, 0.255, 0.003), Er at (0.218, 0.500, 0.337) and Er at (0.277, 0.743, 0.665).

Entry 2
First-principles (GGA-PBE) data for an optimized crystal structure of LaPr7Er4, as listed in the Alexandria database.

The density of states at the Fermi level comes out at 1.589 states/eV/atom.

It has space group C2/m (No. 12), with a = 16.246 Å, b = 6.066 Å, c = 9.626 Å, α = 90.00°, β = 117.51° and γ = 90.00°. The distinct sites, in fractional coordinates, are La at (0.000, 0.000, 0.000), Pr at (0.000, 0.500, 0.000), Pr at (0.090, 0.000, 0.460), Pr at (0.218, 0.000, 0.249), Pr at (0.218, 0.000, 0.889), Er at (0.068, 0.500, 0.699) and Er at (0.167, 0.500, 0.372).

Preferred: entry 1; penalty for the next structure: 187 meV per atom.

Entry 1
First-principles (GGA-PBE) data for an optimized crystal structure of La3Pr4Er4, as listed in the Alexandria database.

The density of states at the Fermi level comes out at 1.463 states/eV/atom.

It has space group Immm (No. 71), with a = 3.663 Å, b = 5.171 Å, c = 39.839 Å, α = 90.00°, β = 90.00° and γ = 90.00°. The distinct sites, in fractional coordinates, are La at (0.000, 0.000, 0.000), La at (0.000, 0.000, 0.363), Pr at (0.000, 0.000, 0.184), Pr at (0.000, 0.000, 0.453), Er at (0.000, 0.000, 0.092) and Er at (0.000, 0.000, 0.272).

Entry 2
First-principles (GGA-PBE) data for an optimized crystal structure of La3Pr4Er4, as listed in the Alexandria database.

The density of states at the Fermi level comes out at 1.644 states/eV/atom.

It has space group Amm2 (No. 38), with a = 10.949 Å, b = 5.804 Å, c = 12.191 Å, α = 90.00°, β = 90.00° and γ = 90.00°. The distinct sites, in fractional coordinates, are La at (0.000, 0.000, 0.000), La at (0.286, 0.000, 0.163), Pr at (0.000, 0.000, 0.706), Pr at (0.216, 0.000, 0.496), Pr at (0.500, 0.000, 0.631), Er at (0.000, 0.000, 0.307), Er at (0.309, 0.000, 0.857) and Er at (0.500, 0.000, 0.358).

Preferred: entry 1; penalty for the next structure: 127 meV per atom.